1.
Compound: Li2Ni2Ir
Source: Alexandria
Functional: GGA-PBE
Structure: optimized geometry

abc: 6.5727 6.5727 2.6068
angles: 90.00 90.00 90.00
With the nearest neighbours (Å) after each atom.
Space group P4/mbm (No. 127)
Asymmetric unit:
Li 0.1145 0.3855 0.0000 [4 per cell]  1 Li 2.13, 2 Ni 2.24
Ni 0.1901 0.6901 0.5000 [4 per cell]  6 Li 2.24-2.44
Ir 0.0000 0.0000 0.0000 [2 per cell]  2 Ir 2.61, 4 Li 2.64, 8 Ni 2.72

Summary:
Offset from the most stable computed form   0.00 kJ/mol of atoms
ΔH_f (0 K)   29 kJ/mol of formula units
Total magnetization   0.0 μB/f.u.

2.
Compound: SrIn2Se
Source: Alexandria
Functional: GGA-PBE
Structure: optimized geometry

abc: 4.2144 4.2144 25.0307
angles: 90.00 90.00 120.00
With the nearest neighbours (Å) after each atom.
Space group R3m (No. 160, hexagonal axes)
Asymmetric unit:
Sr 0.0000 0.0000 0.0000 [3 per cell]  3 Se 3.01
In 0.0000 0.0000 0.5187 [3 per cell]  3 Se 3.10, 3 In 3.11
In 0.0000 0.0000 0.7744 [3 per cell]  3 In 3.11
Se 0.0000 0.0000 0.2623 [3 per cell]  3 Sr 3.01, 3 In 3.10

Summary:
Total magnetization   0.0 μB/f.u.
Formation energy without anion corrections   -0.588 eV per atom

3.
Compound: Sc2Ti4In
Source: Alexandria
Functional: GGA-PBE
Structure: optimized geometry

abc: 5.0086 5.0086 14.4567
angles: 90.00 90.00 90.00
With the nearest neighbours (Å) after each atom.
Space group I4/mmm (No. 139)
Asymmetric unit:
Sc 0.0000 0.0000 0.1146 [4 per cell]  5 Ti 2.89-3.00
Ti 0.0000 0.0000 0.3148 [4 per cell]  1 In 2.68, 1 Sc 2.89
Ti 0.0000 0.5000 0.0000 [4 per cell]  2 In 2.50
In 0.0000 0.0000 0.5000 [2 per cell]  6 Ti 2.50-2.68

Summary:
ΔH_f (0 K)   698 kJ/mol of formula units
Total magnetization   1.5 μB/f.u.

> total magnetization of number 2 (SrIn2Se)?

0.0 μB/f.u.